The following is a GGA-PBE calculation of a relaxed BaCCl3 crystal, from the Alexandria database.

abc: 4.831 4.831 4.831
angles: 90.00 90.00 90.00
Last column: magnetic moment on the atom in μB.
Atoms (fractional coordinates):
1 Cl 0.500 0.000 0.000  0.02
2 C 0.000 0.000 0.000  0.32
3 Cl 0.000 0.500 0.000  -0.01
4 Ba 0.500 0.500 0.500  0.00
5 Cl 0.000 0.000 0.500  -0.02

## Properties
As for the total magnetization: 0.60 μB per formula unit. The energy is -18.52 eV per cell. As for the density of states at the Fermi level: 1.667 states/eV/f.u. The value obtained for the formation energy (no corrections) is -1.83 eV/f.u. As for the space group: Pm-3m. The value obtained for the energy above the most stable polymorph in this dataset is 0 meV per atom.